No. 1
Entry from Alexandria: an optimized crystal structure of Hf3ScH8 (GGA-PBE).

Lattice parameters (Å, degrees): 4.7072 4.7072 4.7072 90.00 90.00 90.00
Last column: nearest neighbours and their distance in Å.
Element x y z (fractional)
Hf 0.0000 0.0000 0.5000  8 H 2.03
Hf 0.0000 0.5000 0.0000  8 H 2.03
Hf 0.5000 0.0000 0.0000  8 H 2.03
Sc 0.5000 0.5000 0.5000  8 H 2.05
H 0.2483 0.2483 0.2483  3 Hf 2.03, 1 Sc 2.05
H 0.2483 0.2483 0.7517  3 Hf 2.03, 1 Sc 2.05
H 0.2483 0.7517 0.2483  3 Hf 2.03, 1 Sc 2.05
H 0.2483 0.7517 0.7517  3 Hf 2.03, 1 Sc 2.05
H 0.7517 0.2483 0.2483  3 Hf 2.03, 1 Sc 2.05
H 0.7517 0.2483 0.7517  3 Hf 2.03, 1 Sc 2.05
H 0.7517 0.7517 0.2483  3 Hf 2.03, 1 Sc 2.05
H 0.7517 0.7517 0.7517  3 Hf 2.03, 1 Sc 2.05

**D(E_F)**: 0.2481 states/eV/atom
**Calculated density**: 9.4 Mg/m³
**Electronic total energy**: -5.81 eV per atom



No. 2
Entry from Alexandria: an optimized crystal structure of PmSmDy2Tm4 (GGA-PBE).

Lattice parameters (Å, degrees): 9.4555 9.4555 9.4555 138.07 103.52 91.28
Last column: nearest neighbours and their distance in Å.
Element x y z (fractional)
Pm 0.0000 0.0000 0.0000  6 Tm 3.32-3.38, 2 Dy 3.38
Pm 0.5000 0.0000 0.5000  6 Tm 3.32-3.38, 2 Dy 3.38
Sm 0.5000 0.0000 0.0000  6 Tm 3.33-3.40, 2 Sm 3.38
Sm 0.5000 0.5000 0.5000  6 Tm 3.33-3.40, 2 Sm 3.38
Dy 0.0000 0.0000 0.5000  6 Tm 3.28-3.36, 2 Dy 3.38
Dy 0.0000 0.5000 0.0000  6 Tm 3.28-3.36, 2 Dy 3.38
Dy 0.0000 0.5000 0.5000  6 Tm 3.29-3.38, 2 Pm 3.38
Dy 0.5000 0.5000 0.0000  6 Tm 3.29-3.38, 2 Pm 3.38
Tm 0.2469 0.7489 0.4981  3 Dy 3.29-3.36, 1 Pm 3.32, 2 Tm 3.38, 2 Sm 3.40
Tm 0.2483 0.2490 0.5007  3 Dy 3.28-3.38, 1 Sm 3.33, 2 Tm 3.37-3.39, 2 Pm 3.38
Tm 0.2483 0.7475 0.9993  3 Dy 3.28-3.38, 1 Sm 3.33, 2 Tm 3.37-3.39, 2 Pm 3.38
Tm 0.2492 0.2511 0.9981  3 Dy 3.29-3.36, 1 Pm 3.32, 2 Tm 3.38, 2 Sm 3.40
Tm 0.7508 0.7489 0.0019  3 Dy 3.29-3.36, 1 Pm 3.32, 2 Tm 3.38, 2 Sm 3.40
Tm 0.7517 0.2525 0.0007  3 Dy 3.28-3.38, 1 Sm 3.33, 2 Tm 3.37-3.39, 2 Pm 3.38
Tm 0.7517 0.7510 0.4993  3 Dy 3.28-3.38, 1 Sm 3.33, 2 Tm 3.37-3.39, 2 Pm 3.38
Tm 0.7531 0.2511 0.5019  3 Dy 3.29-3.36, 1 Pm 3.32, 2 Tm 3.38, 2 Sm 3.40

**D(E_F)**: 2.1582 states/eV/atom
**ΔE_f**: 440 meV per atom
**Calculated density**: 8.2 Mg/m³
**Electronic total energy**: -4.13 eV per atom